No. 1
VASP calculation (GGA-PBE) on a geometry-optimized BaPrSm2 structure.

- energy (eV per atom) = -3.8969
- energy relative to the elements (eV per atom) = 0.1382

Unit cell a=12.6690 b=12.6690 c=12.6690 alpha=17.25 beta=17.25 gamma=17.25
Closest atoms and distances in Å follow each position.
Fractional coordinates of all 4 atoms:
Ba (0.0000, 0.0000, 0.0000)  6 Ba 3.80, 6 Sm 3.99
Pr (0.1662, 0.1662, 0.1662)  6 Sm 3.63-3.65, 6 Pr 3.80
Sm (0.4222, 0.4222, 0.4222)  3 Pr 3.63, 6 Sm 3.80, 3 Ba 3.99
Sm (0.5776, 0.5776, 0.5776)  3 Pr 3.65, 6 Sm 3.80, 3 Ba 3.99



No. 2
VASP calculation (GGA-PBE) on a geometry-optimized BaPrSm structure.

- energy (eV per atom) = -3.6630
- energy relative to the elements (eV per atom) = 0.1441

Unit cell a=3.8465 b=3.8465 c=9.5977 alpha=90.00 beta=90.00 gamma=120.00
Closest atoms and distances in Å follow each position.
Fractional coordinates of all 3 atoms:
Ba (0.0000, 0.0000, 0.0000)  6 Ba 3.85, 3 Sm 4.03, 3 Pr 4.08
Pr (0.6667, 0.3333, 0.3565)  3 Sm 3.59, 6 Pr 3.85
Sm (0.3333, 0.6667, 0.6499)  3 Pr 3.59, 6 Sm 3.85



No. 3
VASP calculation (GGA-PBE) on a geometry-optimized BaPrSm2 structure.

- energy (eV per atom) = -3.9099
- energy relative to the elements (eV per atom) = 0.1252

Unit cell a=3.7760 b=3.7760 c=11.0250 alpha=90.00 beta=90.00 gamma=90.00
Closest atoms and distances in Å follow each position.
Fractional coordinates of all 4 atoms:
Ba (0.0000, 0.0000, 0.0000)  4 Ba 3.78, 8 Sm 4.07
Pr (0.0000, 0.0000, 0.5000)  8 Sm 3.62, 4 Pr 3.78
Sm (0.5000, 0.5000, 0.2782)  4 Pr 3.62, 4 Sm 3.78
Sm (0.5000, 0.5000, 0.7218)  4 Pr 3.62, 4 Sm 3.78



No. 4
VASP calculation (GGA-PBE) on a geometry-optimized BaPrSm structure.

- energy (eV per atom) = -3.6769
- energy relative to the elements (eV per atom) = 0.1303

Unit cell a=8.9060 b=8.9060 c=8.9060 alpha=155.15 beta=155.15 gamma=35.43
Closest atoms and distances in Å follow each position.
Fractional coordinates of all 3 atoms:
Ba (0.0000, 0.0000, 0.0000)  4 Ba 3.83, 4 Sm 4.08, 4 Pr 4.11
Pr (0.3177, 0.3177, 0.0000)  4 Sm 3.58, 4 Pr 3.83
Sm (0.6801, 0.6801, 0.0000)  4 Pr 3.58, 4 Sm 3.83



No. 5
VASP calculation (GGA-PBE) on a geometry-optimized BaPrSm2 structure.

- energy (eV per atom) = -3.8304
- energy relative to the elements (eV per atom) = 0.2047

Unit cell a=13.3309 b=13.3309 c=13.3309 alpha=15.96 beta=15.96 gamma=15.96
Closest atoms and distances in Å follow each position.
Fractional coordinates of all 4 atoms:
Ba (0.0000, 0.0000, 0.0000)  2 Sm 3.66, 6 Ba 3.70
Pr (0.5000, 0.5000, 0.5000)  6 Sm 3.62, 6 Pr 3.70
Sm (0.0927, 0.0927, 0.0927)  3 Pr 3.62, 1 Ba 3.66, 6 Sm 3.70
Sm (0.9073, 0.9073, 0.9073)  3 Pr 3.62, 1 Ba 3.66, 6 Sm 3.70



No. 6
VASP calculation (GGA-PBE) on a geometry-optimized BaPrSm2 structure.

- energy (eV per atom) = -3.8348
- energy relative to the elements (eV per atom) = 0.2004

Unit cell a=5.3873 b=5.3873 c=5.3242 alpha=90.00 beta=90.00 gamma=90.00
Closest atoms and distances in Å follow each position.
Fractional coordinates of all 4 atoms:
Ba (0.0000, 0.0000, 0.0000)  8 Sm 3.79, 4 Pr 3.81
Pr (0.5000, 0.5000, 0.0000)  8 Sm 3.79, 4 Ba 3.81
Sm (0.0000, 0.5000, 0.5000)  4 Ba 3.79, 4 Pr 3.79, 4 Sm 3.81
Sm (0.5000, 0.0000, 0.5000)  4 Ba 3.79, 4 Pr 3.79, 4 Sm 3.81